one) Entry from Alexandria via LeMat-Bulk: a geometry-optimized TiTeP3 structure (GGA-PBE).

Values from the calculation:
Total moment: 0.000 μB/f.u.
DOS(E_F): 4.2 states/eV/cell
Symmetry: Pm-3m

The structure in extended XYZ format:
```
5
Lattice="4.7490 0.0000 0.0000 0.0000 4.7490 0.0000 0.0000 0.0000 4.7490" Properties=species:S:1:pos:R:3 pbc="T T T"
Te 2.3745 2.3745 2.3745
P 0.0000 0.0000 2.3745
P 0.0000 2.3745 0.0000
P 2.3745 0.0000 0.0000
Ti 0.0000 0.0000 0.0000
```

two) Entry from Alexandria via LeMat-Bulk: a geometry-optimized TiTeP3 structure (GGA-PBE).

Values from the calculation:
Total moment: 0.033 μB/f.u.
DOS(E_F): 6.4 states/eV/cell
Symmetry: Pm-3m

The structure in extended XYZ format:
```
5
Lattice="4.9293 0.0000 0.0000 0.0000 4.9293 0.0000 0.0000 0.0000 4.9293" Properties=species:S:1:pos:R:3 pbc="T T T"
P 0.0000 0.0000 2.4646
P 0.0000 2.4646 0.0000
P 2.4646 0.0000 0.0000
Te 0.0000 0.0000 0.0000
Ti 2.4646 2.4646 2.4646
```

Which of them is the most stable? Correct choice: one).

one) Entry from Alexandria via LeMat-Bulk: a geometry-optimized Tl3TeP structure (GGA-PBE).

Values from the calculation:
Total moment: 0.000 μB/f.u.
DOS(E_F): 1.5 states/eV/cell
Symmetry: Pm-3m

The structure in extended XYZ format:
```
5
Lattice="-2.4883 -4.7127 -1.1384 -0.2387 -1.1590 5.3195 -4.8424 2.4788 0.3227" Properties=species:S:1:pos:R:3 pbc="T T T"
Tl -0.1194 -0.5795 2.6597
Tl -1.2441 -2.3564 -0.5692
Tl -2.4212 1.2394 0.1614
Te -3.7847 -1.6965 2.2519
P 0.0000 0.0000 0.0000
```

two) Entry from Alexandria via LeMat-Bulk: a geometry-optimized Tl3TeP structure (GGA-PBE).

Values from the calculation:
Total moment: 1.782 μB/f.u.
DOS(E_F): 5.9 states/eV/cell
Symmetry: Pm-3m

The structure in extended XYZ format:
```
5
Lattice="-3.2644 -3.6046 3.9220 3.7894 -4.8042 -1.2614 3.7437 1.7198 4.6966" Properties=species:S:1:pos:R:3 pbc="T T T"
Tl -1.6322 -1.8023 1.9610
Tl 1.8947 -2.4021 -0.6307
Tl 1.8718 0.8599 2.3483
P 2.1344 -3.3445 3.6786
Te 0.0000 0.0000 0.0000
```

Which of them is the most stable? Correct choice: one).

one) Entry from Alexandria via LeMat-Bulk: a geometry-optimized TlTe3P structure (GGA-PBE).

Values from the calculation:
Total moment: 1.162 μB/f.u.
DOS(E_F): 5.7 states/eV/cell
Symmetry: Pm-3m

The structure in extended XYZ format:
```
5
Lattice="5.7954 0.0000 0.0000 0.0000 5.7954 0.0000 0.0000 0.0000 5.7954" Properties=species:S:1:pos:R:3 pbc="T T T"
Te 0.0000 0.0000 2.8977
Te 0.0000 2.8977 0.0000
Te 2.8977 0.0000 0.0000
Tl 0.0000 0.0000 0.0000
P 2.8977 2.8977 2.8977
```

two) Entry from Alexandria via LeMat-Bulk: a geometry-optimized TlTe3P structure (GGA-PBE).

Values from the calculation:
Total moment: 0.000 μB/f.u.
DOS(E_F): 4.8 states/eV/cell
Symmetry: Pm-3m

The structure in extended XYZ format:
```
5
Lattice="-3.7301 0.0938 -3.8695 -2.1621 -4.5078 1.9750 -3.2105 2.9269 3.1658" Properties=species:S:1:pos:R:3 pbc="T T T"
Tl -4.5514 -0.7436 0.6356
Te -1.8651 0.0469 -1.9348
Te -1.0811 -2.2539 0.9875
Te -1.6052 1.4634 1.5829
P 0.0000 0.0000 0.0000
```

Which of them is the most stable? Correct choice: two).

one) Entry from Alexandria via LeMat-Bulk: a geometry-optimized TlTeP structure (GGA-PBE).

Values from the calculation:
Total moment: 0.000 μB/f.u.
DOS(E_F): 0.8 states/eV/cell
Symmetry: P3m1

The structure in extended XYZ format:
```
3
Lattice="2.3132 -4.0066 0.0000 2.3132 4.0066 0.0000 0.0000 0.0000 4.9329" Properties=species:S:1:pos:R:3 pbc="T T T"
Te 2.3132 1.3355 1.0473
P 0.0000 0.0000 0.4209
Tl 2.3132 -1.3355 3.4647
```

two) Entry from Alexandria via LeMat-Bulk: a geometry-optimized TlTeP structure (GGA-PBE).

Values from the calculation:
Total moment: 0.000 μB/f.u.
DOS(E_F): 1.6 states/eV/cell
Symmetry: P3m1

The structure in extended XYZ format:
```
3
Lattice="1.8247 -3.1604 0.0000 1.8247 3.1604 0.0000 0.0000 0.0000 6.9445" Properties=species:S:1:pos:R:3 pbc="T T T"
Te 1.8247 -1.0535 1.8898
Tl 1.8247 1.0535 4.8592
P 0.0000 0.0000 0.1956
```

Which of them is the most stable? Correct choice: one).

one) Entry from Alexandria via LeMat-Bulk: a geometry-optimized TlTeP structure (GGA-PBE).

Values from the calculation:
Total moment: 0.000 μB/f.u.
DOS(E_F): 1.2 states/eV/cell
Symmetry: I4mm

The structure in extended XYZ format:
```
3
Lattice="-1.8915 1.8915 5.9394 1.8915 -1.8915 5.9394 1.8915 1.8915 -5.9394" Properties=species:S:1:pos:R:3 pbc="T T T"
P 0.0000 0.0000 0.5724
Te 0.0000 0.0000 7.3049
Tl 0.0000 0.0000 4.0015
```

two) Entry from Alexandria via LeMat-Bulk: a geometry-optimized TlTeP structure (GGA-PBE).

Values from the calculation:
Total moment: 0.000 μB/f.u.
DOS(E_F): 7.6 states/eV/cell
Symmetry: Pnma

The structure in extended XYZ format:
```
12
Lattice="4.0251 0.0000 0.0000 0.0000 7.8600 0.0000 0.0000 0.0000 11.4731" Properties=species:S:1:pos:R:3 pbc="T T T"
Tl 3.0189 6.3723 11.4456
Tl 3.0189 5.4178 5.7090
Tl 1.0063 2.4422 5.7640
Tl 1.0063 1.4878 0.0275
P 1.0063 6.8220 3.9611
P 3.0189 2.8920 1.7755
P 1.0063 4.9680 9.6976
P 3.0189 1.0380 7.5120
Te 3.0189 2.9744 9.0554
Te 3.0189 0.9556 3.3188
Te 1.0063 4.8856 2.4177
Te 1.0063 6.9044 8.1543
```

three) Entry from Alexandria via LeMat-Bulk: a geometry-optimized TlTeP structure (GGA-PBE).

Values from the calculation:
Total moment: 0.000 μB/f.u.
DOS(E_F): 1.9 states/eV/cell
Symmetry: Imm2

The structure in extended XYZ format:
```
3
Lattice="2.2468 6.0793 1.7002 -3.1766 4.9636 3.1888 1.5098 -6.5282 0.0281" Properties=species:S:1:pos:R:3 pbc="T T T"
Te -0.6476 7.6912 3.4051
P -0.8332 9.8953 4.3808
Tl -0.3788 4.4995 1.9920
```

Which of them is the most stable? Correct choice: one).

one) Entry from Alexandria via LeMat-Bulk: a geometry-optimized TlTe2P2 structure (GGA-PBE).

Values from the calculation:
Total moment: 0.000 μB/f.u.
DOS(E_F): 3.7 states/eV/cell
Symmetry: P4/mbm

The structure in extended XYZ format:
```
10
Lattice="-8.1021 -0.6656 3.4728 1.7793 -8.2702 2.5660 1.2747 1.2727 3.2179" Properties=species:S:1:pos:R:3 pbc="T T T"
P -5.3457 -6.2373 4.5845
P -5.2455 -2.0209 2.8772
P -0.9771 -2.6985 1.4543
P -1.0773 -6.9149 3.1616
Te -3.3327 -6.6596 6.0672
Te -1.7153 -1.0035 3.1895
Te 0.4403 -5.0346 3.9299
Te -5.4883 -2.6285 5.3268
Tl 0.0000 0.0000 0.0000
Tl -3.1614 -4.4679 3.0194
```

two) Entry from Alexandria via LeMat-Bulk: a geometry-optimized TlTe2P2 structure (GGA-PBE).

Values from the calculation:
Total moment: 0.000 μB/f.u.
DOS(E_F): 2.0 states/eV/cell
Symmetry: I4/mmm

The structure in extended XYZ format:
```
5
Lattice="-2.6226 2.6226 5.4585 2.6226 -2.6226 5.4585 2.6226 2.6226 -5.4585" Properties=species:S:1:pos:R:3 pbc="T T T"
P 2.6226 0.0000 2.7293
P 0.0000 2.6226 2.7293
Te 0.0000 0.0000 7.4100
Te 0.0000 0.0000 3.5071
Tl 0.0000 0.0000 0.0000
```

Which of them is the most stable? Correct choice: one).

one) Entry from Alexandria via LeMat-Bulk: a geometry-optimized Tm2TeP structure (GGA-PBE).

Values from the calculation:
Total moment: 0.000 μB/f.u.
DOS(E_F): 2.4 states/eV/cell
Symmetry: R3m

The structure in extended XYZ format:
```
4
Lattice="4.0168 0.0000 0.0000 2.0084 3.4787 0.0000 2.0084 1.1596 7.1302" Properties=species:S:1:pos:R:3 pbc="T T T"
Tm 2.0084 1.1596 5.6548
Tm 2.0084 1.1596 1.4915
P 6.0252 3.4787 7.0944
Te 4.0168 2.3191 3.5848
```

two) Entry from Alexandria via LeMat-Bulk: a geometry-optimized Tm2TeP structure (GGA-PBE).

Values from the calculation:
Total moment: 0.000 μB/f.u.
DOS(E_F): 1.4 states/eV/cell
Symmetry: R-3m

The structure in extended XYZ format:
```
4
Lattice="4.0578 -0.0007 -0.0025 -2.0283 3.5145 0.0025 -2.0219 -1.1752 6.9641" Properties=species:S:1:pos:R:3 pbc="T T T"
Tm 0.0063 -0.0036 5.5143
Tm 0.0013 2.3422 1.4497
Te -2.0251 1.1696 3.4834
P 4.0578 -0.0007 -0.0025
```

Which of them is the most stable? Correct choice: two).

one) Entry from Alexandria via LeMat-Bulk: a geometry-optimized U2TeP structure (GGA-PBE).

Values from the calculation:
Total moment: 5.101 μB/f.u.
DOS(E_F): 11.9 states/eV/cell
Symmetry: R-3m

The structure in extended XYZ format:
```
4
Lattice="-0.5913 -4.0675 0.2622 3.1506 -2.5823 -0.6068 2.3210 -1.9985 6.5786" Properties=species:S:1:pos:R:3 pbc="T T T"
U 3.5958 -6.4958 4.3819
U 1.2844 -2.1525 1.8521
Te 0.0000 0.0000 0.0000
P 2.4401 -4.3241 3.1170
```

two) Entry from Alexandria via LeMat-Bulk: a geometry-optimized U2TeP structure (GGA-PBE).

Values from the calculation:
Total moment: 5.372 μB/f.u.
DOS(E_F): 10.4 states/eV/cell
Symmetry: R3m

The structure in extended XYZ format:
```
4
Lattice="3.9047 0.0000 0.0000 1.9523 3.3816 0.0000 1.9523 1.1272 7.5991" Properties=species:S:1:pos:R:3 pbc="T T T"
U 1.9523 1.1272 5.9969
U 1.9523 1.1272 1.5973
P 5.8570 3.3816 7.5831
Te 3.9047 2.2544 3.8205
```

three) Entry from Alexandria via LeMat-Bulk: a geometry-optimized U2TeP structure (GGA-PBE).

Values from the calculation:
Total moment: 5.824 μB/f.u.
DOS(E_F): 22.8 states/eV/cell
Symmetry: Pmmn

The structure in extended XYZ format:
```
8
Lattice="-2.3520 -2.0971 -2.4422 2.3396 -6.1104 2.9939 -5.3727 0.3365 4.8854" Properties=species:S:1:pos:R:3 pbc="T T T"
Te -3.0480 -1.8612 2.9067
Te -2.3371 -6.0099 2.5305
P -3.6990 -4.8023 6.0593
P -1.6861 -3.0687 -0.6221
U -1.6904 -0.4581 0.3943
U -3.6948 -7.4129 5.0429
U -0.5228 -3.5074 1.8884
U -4.8623 -4.3636 3.5488
```

Which of them is the most stable? Correct choice: one).